[1]
Nd4Te2CCl: relaxed, PBE-GGA.

POSCAR file:
```
Nd4Te2CCl
1.0
4.0988 0.0000 0.0000
0.0000 7.5161 -0.2914
0.0000 2.5128 6.8732
Nd Te C Cl
4 2 1 1
direct
0.0000 0.7061 0.7270
0.0000 0.2939 0.2730
0.5000 0.6964 0.2951
0.5000 0.3036 0.7049
0.0000 0.0000 0.0000
0.5000 0.0000 0.5000
0.0000 0.5000 0.5000
0.5000 0.5000 0.0000
```

Values from the calculation:
- Formation energy without anion corrections: -1138 meV per atom

***

[2]
NdThCCl: relaxed, PBE-GGA.

POSCAR file:
```
NdThCCl
1.0
-0.7743 -3.6217 0.5131
2.2209 1.0561 -2.8164
5.6310 1.4311 4.9772
Nd Th C Cl
1 1 1 1
direct
0.5059 0.1509 0.6720
0.0925 0.9442 0.0518
0.3081 0.5520 0.8753
0.9715 0.3838 0.3705
```

Values from the calculation:
- Formation energy without anion corrections: -982 meV per atom

***

[3]
Nd4ZnCCl2: relaxed, PBE-GGA.

POSCAR file:
```
Nd4ZnCCl2
1.0
-2.3129 -3.1649 0.0250
4.8907 -3.5413 4.1598
-1.6899 1.2894 6.8889
Nd Zn C Cl
4 1 1 2
direct
0.0000 0.7227 0.7290
0.0000 0.2773 0.2710
0.5000 0.7005 0.2936
0.5000 0.2995 0.7064
0.5000 0.5000 0.0000
0.0000 0.5000 0.5000
0.0000 0.0000 0.0000
0.5000 0.0000 0.5000
```

Values from the calculation:
- Formation energy without anion corrections: -845 meV per atom

***

> The lowest formation energy without anion corrections belongs to which entry?

Nd4Te2CCl